# V2Os6Ru PBE relaxed
# magnetic moment	0.000	μB per formula unit
# DFT formation energy	-0.020	eV/atom
# total DFT energy (no corrections)	-190.15	eV/cell
data_V2Os6Ru
_chemical_formula_sum 'V4 Os12 Ru2'
_space_group_name_H-M_alt 'P -1'
_space_group_IT_number 2
_cell_length_a 6.096
_cell_length_b 7.175
_cell_length_c 7.182
_cell_angle_alpha 64.42
_cell_angle_beta 64.90
_cell_angle_gamma 84.73
loop_
_space_group_symop_operation_xyz
'x,y,z'
'-x,-y,-z'
loop_
_atom_site_label
_atom_site_fract_x
_atom_site_fract_y
_atom_site_fract_z
V1 0.001 0.252 0.251
V2 0.232 0.978 0.865
Os1 0.111 0.361 0.805
Os2 0.221 0.475 0.361
Os3 0.333 0.588 0.917
Os4 0.341 0.084 0.414
Os5 0.442 0.698 0.473
Os6 0.446 0.195 0.972
Ru1 0.112 0.864 0.305